This record from the Alexandria database describes an optimized crystal structure of NaSr3Pt. The functional is PBE-GGA.

- ΔE to the lowest computed polymorph: 22 meV/atom
- Calculated formation energy: -0.415 eV per atom

Cell lengths 4.3667, 5.9769, 8.3643 Å; angles 90.01, 92.77, 90.00 degrees
Space group P1 (No. 1)
Unique sites:
Na  0.0000  0.0000  0.0000 x1
Sr  0.0058  0.9991  0.5009 x1
Sr  0.4818  0.4993  0.2555 x1
Sr  0.5270  0.4993  0.7464 x1
Pt  0.0044  0.4991  0.5010 x1